Crystalline KHfCuSe3 at its relaxed geometry, computed with PBE.

Cell lengths 8.7794, 3.9004, 9.6297 Å; angles 90.00, 111.80, 90.00 degrees
Last column: nearest neighbours and their distance in Å.
Atoms (fractional coordinates):
K (0.2254, 0.2500, 0.2588)  7 Se 3.33-3.58
K (0.7746, 0.7500, 0.7412)  7 Se 3.33-3.58
Hf (0.3116, 0.7500, 0.8328)  6 Se 2.61-2.79
Hf (0.6884, 0.2500, 0.1672)  6 Se 2.61-2.79
Cu (0.0838, 0.2500, 0.5992)  4 Se 2.44-2.56
Cu (0.9162, 0.7500, 0.4008)  4 Se 2.44-2.56
Se (0.1145, 0.2500, 0.8619)  1 Cu 2.44, 2 Hf 2.69
Se (0.2266, 0.7500, 0.5428)  3 Cu 2.49-2.56, 1 Hf 2.61
Se (0.4629, 0.7500, 0.1439)  3 Hf 2.73-2.79
Se (0.5371, 0.2500, 0.8561)  3 Hf 2.73-2.79
Se (0.7734, 0.2500, 0.4572)  3 Cu 2.49-2.56, 1 Hf 2.61
Se (0.8855, 0.7500, 0.1381)  1 Cu 2.44, 2 Hf 2.69

Calculated values
Calculated volume   306.2 Å³/cell
Uncorrected formation energy   -108.5 kJ per mole of atoms
Density of states at the Fermi level   0.131 states/eV per cell
Electronic total energy   -5.39 eV/atom
Calculated density   5619 kg/m³